Below is crystalline Y3InRu at its relaxed geometry, with properties calculated at the PBE-GGA level.

Lattice parameters (Å, degrees): 5.842 5.842 8.766 102.27 102.26 111.26
Atoms (fractional coordinates):
Y: 0.921 0.801 0.723
Y: 0.079 0.199 0.277
Y: 0.301 0.421 0.723
Ru: 0.250 0.250 0.000
In: 0.291 0.791 0.500
Y: 0.700 0.200 0.899
Y: 0.300 0.800 0.101
Y: 0.699 0.579 0.277
In: 0.709 0.209 0.500
Ru: 0.750 0.750 0.000

## Properties
Size of the total moment   0.000 μB per formula unit
Energy   -6.6803 eV/atom
Theoretical density   6.2 Mg/m³
Offset from the most stable computed form   0 meV/atom
Energy of formation from the pure elements   -0.399 eV per atom